# 1
A plane-wave DFT calculation with GGA-PBE was carried out for a relaxed structure of Fe3CuN5.

Cell lengths 4.394, 4.394, 7.429 Å; angles 90.00, 90.00, 120.01 degrees
Each line ends with the local moment (μB).
Fractional coordinates of all 9 atoms:
Cu: 0.000 0.000 0.000  0.00
Fe: 0.500 0.000 0.500  2.44
Fe: 0.000 0.500 0.500  2.21
Fe: 0.500 0.500 0.500  2.33
N: 0.667 0.333 0.078  0.00
N: 0.333 0.667 0.078  0.00
N: 0.000 0.000 0.500  0.10
N: 0.667 0.333 0.922  0.00
N: 0.333 0.667 0.922  0.00

- total DFT energy (no corrections) (eV for the cell shown) = -59.81

# 2
A plane-wave DFT calculation with GGA-PBE was carried out for a relaxed structure of Sc4FeCuN2.

Cell lengths 3.166, 3.166, 13.487 Å; angles 90.00, 90.00, 120.00 degrees
Each line ends with the local moment (μB).
Fractional coordinates of all 8 atoms:
Cu: 0.000 0.000 0.000  0.05
Fe: 0.667 0.333 0.500  2.13
N: 0.333 0.667 0.250  0.01
N: 0.333 0.667 0.750  0.01
Sc: 0.667 0.333 0.159  0.12
Sc: 0.000 0.000 0.347  -0.31
Sc: 0.000 0.000 0.653  -0.31
Sc: 0.667 0.333 0.841  0.14

- total DFT energy (no corrections) (eV for the cell shown) = -60.62

# 3
A plane-wave DFT calculation with GGA-PBE was carried out for a relaxed structure of FeCuW4N2.

Cell lengths 2.805, 2.805, 14.535 Å; angles 90.00, 90.00, 120.00 degrees
Each line ends with the local moment (μB).
Fractional coordinates of all 8 atoms:
Cu: 0.000 0.000 0.500  0.03
Fe: 0.333 0.667 0.000  1.78
N: 0.667 0.333 0.248  0.02
N: 0.667 0.333 0.752  0.02
W: 0.000 0.000 0.147  -0.06
W: 0.333 0.667 0.347  0.02
W: 0.333 0.667 0.653  0.02
W: 0.000 0.000 0.853  -0.06

- total DFT energy (no corrections) (eV for the cell shown) = -78.89

# 4
A plane-wave DFT calculation with GGA-PBE was carried out for a relaxed structure of NaFeCuOs.

Cell lengths 4.286, 4.286, 4.286 Å; angles 60.00, 60.00, 60.00 degrees
Fractional coordinates of all 4 atoms:
Cu: 0.750 0.750 0.750
Fe: 0.000 0.000 0.000
Na: 0.500 0.500 0.500
Os: 0.250 0.250 0.250

- excess energy over the best structure of this formula in the dataset (meV per atom) = 91
- total DFT energy (no corrections) (eV for the cell shown) = -21.15

# 5
A plane-wave DFT calculation with GGA-PBE was carried out for a relaxed structure of NaFeCuOs.

Cell lengths 4.299, 4.299, 4.299 Å; angles 60.00, 60.00, 60.00 degrees
Fractional coordinates of all 4 atoms:
Cu: 0.750 0.750 0.750
Fe: 0.250 0.250 0.250
Na: 0.500 0.500 0.500
Os: 0.000 0.000 0.000

- excess energy over the best structure of this formula in the dataset (meV per atom) = 0
- total DFT energy (no corrections) (eV for the cell shown) = -21.52

# 6
A plane-wave DFT calculation with GGA-PBE was carried out for a relaxed structure of NaFeCuOs.

Cell lengths 4.319, 4.319, 4.319 Å; angles 60.00, 60.00, 60.00 degrees
Fractional coordinates of all 4 atoms:
Cu: 0.750 0.750 0.750
Fe: 0.500 0.500 0.500
Na: 0.250 0.250 0.250
Os: 0.000 0.000 0.000

- excess energy over the best structure of this formula in the dataset (meV per atom) = 297
- total DFT energy (no corrections) (eV for the cell shown) = -20.33

# 7
A plane-wave DFT calculation with GGA-PBE was carried out for a relaxed structure of NaFeCuS3.

Cell lengths 12.705, 3.494, 9.263 Å; angles 90.00, 90.00, 90.00 degrees
Each line ends with the local moment (μB).
Fractional coordinates of all 24 atoms:
Cu: 0.015 0.750 0.097  0.12
Cu: 0.515 0.750 0.403  0.12
Cu: 0.485 0.250 0.597  0.12
Cu: 0.985 0.250 0.903  0.12
Fe: 0.513 0.250 0.165  1.46
Fe: 0.013 0.250 0.335  1.46
Fe: 0.987 0.750 0.665  1.46
Fe: 0.487 0.750 0.835  1.46
Na: 0.234 0.250 0.051  0.00
Na: 0.734 0.250 0.449  0.00
Na: 0.266 0.750 0.551  0.00
Na: 0.766 0.750 0.949  0.00
S: 0.419 0.750 0.065  -0.06
S: 0.902 0.250 0.136  0.08
S: 0.629 0.750 0.221  0.04
S: 0.129 0.750 0.279  0.04
S: 0.402 0.250 0.364  0.08
S: 0.919 0.750 0.435  -0.06
S: 0.081 0.250 0.565  -0.06
S: 0.598 0.750 0.636  0.08
S: 0.871 0.250 0.721  0.04
S: 0.371 0.250 0.779  0.04
S: 0.098 0.750 0.864  0.08
S: 0.581 0.250 0.935  -0.06

- total DFT energy (no corrections) (eV for the cell shown) = -114.36

# 8
A plane-wave DFT calculation with GGA-PBE was carried out for a relaxed structure of NaFeCuSe2S.

Cell lengths 6.805, 6.805, 9.505 Å; angles 90.00, 90.00, 149.62 degrees
Each line ends with the local moment (μB).
Fractional coordinates of all 12 atoms:
Cu: 0.538 0.462 0.250  0.07
Cu: 0.462 0.538 0.750  0.07
Fe: 0.000 0.000 0.000  2.33
Fe: 0.000 0.000 0.500  2.34
Na: 0.254 0.746 0.250  0.01
Na: 0.746 0.254 0.750  0.01
S: 0.933 0.067 0.250  0.01
S: 0.067 0.933 0.750  0.02
Se: 0.630 0.370 0.035  0.00
Se: 0.630 0.370 0.465  0.00
Se: 0.370 0.630 0.535  0.00
Se: 0.370 0.630 0.965  0.00

- total DFT energy (no corrections) (eV for the cell shown) = -53.44